(1)
## CoP2SCl (PBE)

Data for crystalline CoP2SCl at its relaxed geometry.

Lattice parameters (Å, degrees): 4.4237 4.4237 4.4399 90.00 90.00 90.00
With the nearest neighbours (Å) after each atom.
Positions (direct):
1 P 0.0000 0.5000 0.0000  2 Co 2.21
2 P 0.5000 0.0000 0.0000  2 Co 2.21
3 S 0.0000 0.0000 0.5000  2 Co 2.22
4 Co 0.0000 0.0000 0.0000  4 P 2.21, 2 S 2.22
5 Cl 0.5000 0.5000 0.5000  4 S 3.13, 8 P 3.13

ρ in g/cm³: 3.6
Energy in eV/atom: -4.20
Space-group type: P4/mmm (123)
E above lowest polymorph in meV/atom: 7
Formation energy (no corrections) in eV/atom: 0.585

---

(2)
## CoSbPCl2 (PBE)

Data for crystalline CoSbPCl2 at its relaxed geometry.

Lattice parameters (Å, degrees): 4.4844 4.4844 4.7555 90.00 90.00 90.00
With the nearest neighbours (Å) after each atom.
Positions (direct):
1 Sb 0.5000 0.5000 0.5000  4 P 3.17, 8 Cl 3.27
2 Co 0.0000 0.0000 0.0000  4 Cl 2.24, 2 P 2.38
3 P 0.0000 0.0000 0.5000  2 Co 2.38
4 Cl 0.0000 0.5000 0.0000  2 Co 2.24
5 Cl 0.5000 0.0000 0.0000  2 Co 2.24

ρ in g/cm³: 4.9
Energy in eV/atom: -3.90
Space-group type: P4/mmm (123)
E above lowest polymorph in meV/atom: 0
Formation energy (no corrections) in eV/atom: 0.163

---

(3)
## ScCoPCl2 (PBE)

Data for crystalline ScCoPCl2 at its relaxed geometry.

Lattice parameters (Å, degrees): 4.3765 4.3765 4.8131 90.00 90.00 90.00
With the nearest neighbours (Å) after each atom.
Positions (direct):
1 Sc 0.5000 0.5000 0.5000  4 P 3.09, 8 Cl 3.25
2 P 0.0000 0.0000 0.5000  2 Co 2.41
3 Co 0.0000 0.0000 0.0000  4 Cl 2.19, 2 P 2.41
4 Cl 0.0000 0.5000 0.0000  2 Co 2.19
5 Cl 0.5000 0.0000 0.0000  2 Co 2.19

ρ in g/cm³: 3.7
Energy in eV/atom: -4.79
Space-group type: P4/mmm (123)
E above lowest polymorph in meV/atom: 0
Formation energy (no corrections) in eV/atom: -0.282

---

(4)
## ScCoPCl2 (PBE)

Data for crystalline ScCoPCl2 at its relaxed geometry.

Lattice parameters (Å, degrees): 4.7821 4.7821 5.4054 90.00 90.00 90.00
With the nearest neighbours (Å) after each atom.
Positions (direct):
1 Sc 0.0000 0.0000 0.0000  4 Cl 2.39
2 P 0.0000 0.0000 0.5000  2 Sc 2.70
3 Co 0.5000 0.5000 0.5000  4 P 3.38, 8 Cl 3.61
4 Cl 0.0000 0.5000 0.0000  2 Sc 2.39
5 Cl 0.5000 0.0000 0.0000  2 Sc 2.39

ρ in g/cm³: 2.8
Energy in eV/atom: -4.65
Space-group type: P4/mmm (123)
E above lowest polymorph in meV/atom: 141
Formation energy (no corrections) in eV/atom: -0.141